{
  "formula": "MnSbPbSe4",
  "functional": "PBE",
  "state": "relaxed",
  "lattice": [[7.501, 0.000, 0.000], [0.000, 5.967, 0.000], [-1.988, 0.000, 8.684]],
  "species": ["Mn", "Mn", "Sb", "Sb", "Pb", "Pb", "Se", "Se", "Se", "Se", "Se", "Se", "Se", "Se"],
  "fractional_positions": [[0.203, 0.250, 0.305], [0.797, 0.750, 0.695], [0.331, 0.750, 0.601], [0.669, 0.250, 0.399], [0.234, 0.750, 0.053], [0.766, 0.250, 0.947], [0.053, 0.013, 0.775], [0.053, 0.487, 0.775], [0.403, 0.250, 0.571], [0.434, 0.250, 0.135], [0.566, 0.750, 0.865], [0.597, 0.750, 0.429], [0.947, 0.513, 0.225], [0.947, 0.987, 0.225]],
  "crystal_system": "monoclinic",
  "raw_formation_energy_ev_per_atom": -0.28
}